Entry 1:
Compound: CrCuSb3
Source: the Alexandria database
Functional: SCAN
Structure: PBEsol geometry

Cell lengths 4.908, 4.908, 4.908 Å; angles 90.00, 90.00, 90.00 degrees
Positions (direct):
Cr (0.000, 0.000, 0.000)
Cu (0.500, 0.500, 0.500)
Sb (0.000, 0.000, 0.500)
Sb (0.000, 0.500, 0.000)
Sb (0.500, 0.000, 0.000)

Computed properties:
formation energy from raw total energies = 341 kJ/mol of formula units
symmetry = Pm-3m
total DFT energy (no corrections) = -141.836 eV per cell

---

Entry 2:
Compound: YSbCI2
Source: the Alexandria database
Functional: SCAN
Structure: PBEsol geometry

Cell lengths 5.788, 5.788, 6.040 Å; angles 90.00, 90.00, 90.00 degrees
Positions (direct):
Y (0.000, 0.000, 0.000)
Sb (0.000, 0.000, 0.500)
C (0.500, 0.500, 0.500)
I (0.000, 0.500, 0.000)
I (0.500, 0.000, 0.000)

Computed properties:
formation energy from raw total energies = 461 kJ/mol of formula units
symmetry = P4/mmm
total DFT energy (no corrections) = -143.908 eV per cell

---

Entry 3:
Compound: Mn2ReAs
Source: the Alexandria database
Functional: SCAN
Structure: PBEsol geometry

Cell lengths 8.055, 8.055, 8.055 Å; angles 19.43, 19.43, 19.43 degrees
Positions (direct):
Mn (0.247, 0.247, 0.247)
Mn (0.753, 0.753, 0.753)
Re (0.000, 0.000, 0.000)
As (0.500, 0.500, 0.500)

Computed properties:
symmetry = R-3m
total DFT energy (no corrections) = -127.265 eV per cell

---

Entry 4:
Compound: KAlCl
Source: the Alexandria database
Functional: SCAN
Structure: PBEsol geometry

Cell lengths 7.086, 7.086, 7.086 Å; angles 151.79, 151.79, 40.31 degrees
Positions (direct):
K (0.000, 0.000, 0.000)
Al (0.704, 0.704, 0.000)
Cl (0.371, 0.371, 0.000)

Computed properties:
formation energy from raw total energies = -146 kJ/mol of formula units
symmetry = I4mm
total DFT energy (no corrections) = -25.576 eV per cell

---

Entry 5:
Compound: TmZn12
Source: the Alexandria database
Functional: SCAN
Structure: PBEsol geometry

Cell lengths 6.657, 6.657, 6.657 Å; angles 98.19, 98.19, 135.66 degrees
Positions (direct):
Tm (0.000, 0.000, 0.000)
Zn (0.000, 0.000, 0.500)
Zn (0.000, 0.353, 0.353)
Zn (0.000, 0.500, 0.000)
Zn (0.000, 0.647, 0.647)
Zn (0.285, 0.500, 0.785)
Zn (0.353, 0.000, 0.353)
Zn (0.500, 0.000, 0.000)
Zn (0.500, 0.285, 0.785)
Zn (0.500, 0.500, 0.500)
Zn (0.500, 0.715, 0.215)
Zn (0.647, 0.000, 0.647)
Zn (0.715, 0.500, 0.215)

Computed properties:
symmetry = I4/mmm
total DFT energy (no corrections) = -216.790 eV per cell

---

Entry 6:
Compound: Co2Pt
Source: the Alexandria database
Functional: SCAN
Structure: PBEsol geometry

Cell lengths 4.891, 4.891, 6.091 Å; angles 103.66, 103.66, 31.12 degrees
Positions (direct):
Co (0.000, 0.000, 0.000)
Co (0.059, 0.059, 0.618)
Co (0.341, 0.341, 0.675)
Co (0.672, 0.672, 0.354)
Pt (0.397, 0.397, 0.294)
Pt (0.719, 0.719, 0.941)

Computed properties:
symmetry = Cm
total DFT energy (no corrections) = -210.049 eV per cell